Computed, not measured: an optimized crystal structure of Pm3In at the GGA-PBE level of DFT.

Cell lengths 3.608, 6.081, 6.692 Å; angles 117.02, 105.64, 90.00 degrees
Element x y z (fractional)
In (0.000, 0.010, 0.000)
Pm (0.271, 0.612, 0.542)
Pm (0.500, 0.475, 0.000)
Pm (0.729, 0.070, 0.458)

Output
DFT total energy ... -4.483 eV per atom
Fermi-level density of states ... 4.17 states/eV per cell
E_form ... -0.236 eV/atom